Entry 1:
# Rb2Nd2PaS6 GGA-PBE relaxed
# Raw formation energy   -172 kJ/mol of atoms
data_Rb2Nd2PaS6
_chemical_formula_sum 'Rb4 Nd4 Pa2 S12'
_space_group_name_H-M_alt 'C 1 2/m 1'
_space_group_IT_number 12
_cell_length_a 7.207
_cell_length_b 12.397
_cell_length_c 8.232
_cell_angle_alpha 90.00
_cell_angle_beta 107.19
_cell_angle_gamma 90.00
loop_
_space_group_symop_operation_xyz
'x,y,z'
'-x,-y,-z'
'-x,y,-z'
'x,-y,z'
'x+1/2,y+1/2,z'
'-x+1/2,-y+1/2,-z'
'-x+1/2,y+1/2,-z'
'x+1/2,-y+1/2,z'
loop_
_atom_site_label
_atom_site_fract_x
_atom_site_fract_y
_atom_site_fract_z
Rb1 0.000 0.169 0.000
Nd1 0.000 0.334 0.500
Pa1 0.000 0.000 0.500
S1 0.223 0.161 0.689
S2 0.247 0.500 0.689

Entry 2:
# HfIn3Ni GGA-PBE relaxed
# Excess energy over the best structure of this formula in the dataset   878 meV/atom
# Energy of formation from the pure elements   1198.1 meV per atom
data_HfIn3Ni
_chemical_formula_sum 'Hf1 In3 Ni1'
_space_group_name_H-M_alt 'P m -3 m'
_space_group_IT_number 221
_space_group_name_Hall '-P 4 2 3'
_cell_length_a 5.530
_cell_length_b 5.530
_cell_length_c 5.530
_cell_angle_alpha 90.00
_cell_angle_beta 90.00
_cell_angle_gamma 90.00
loop_
_atom_site_label
_atom_site_fract_x
_atom_site_fract_y
_atom_site_fract_z
Hf1 0.000 0.000 0.000
In1 0.000 0.000 0.500
Ni1 0.500 0.500 0.500

| no. | DOS(E_F) (states/eV/f.u.) | calculated volume (A^3/atom) |
| --- | --- | --- |
| 1 | 2.24 | 31.94 |
| 2 | 8.27 | 33.83 |